Material: V2NiH2
Method: DFT, PBE
State: relaxed

abc: 5.7162 5.7162 2.5604
angles: 90.00 90.00 90.00
Positions (direct):
Ni 0.0000 0.0000 0.0000
Ni 0.5000 0.5000 0.0000
V 0.1525 0.6525 0.5000
V 0.6525 0.8475 0.5000
V 0.8475 0.3475 0.5000
V 0.3475 0.1525 0.5000
H 0.3631 0.8631 0.0000
H 0.8631 0.6369 0.0000
H 0.6369 0.1369 0.0000
H 0.1369 0.3631 0.0000

calculated density: 6.45 g/cm3
DFT total energy: -6.128 eV/atom
density of states at the Fermi level: 0.79 states/eV per atom
E above lowest polymorph: 176 meV per atom
size of the total moment: 0.00 μB/atom


Material: VNi4H4
Method: DFT, PBE
State: relaxed

abc: 2.6399 4.5578 5.9328
angles: 73.88 77.14 73.17
Positions (direct):
V 0.5000 0.0000 0.0000
Ni 0.7011 0.3972 0.2005
Ni 0.9021 0.7998 0.3960
Ni 0.2989 0.6028 0.7995
Ni 0.0979 0.2002 0.6040
H 0.2943 0.0915 0.3199
H 0.7057 0.9085 0.6801
H 0.9036 0.3201 0.8726
H 0.0964 0.6799 0.1274

calculated density: 7.42 g/cm3
DFT total energy: -5.171 eV/atom
density of states at the Fermi level: 0.62 states/eV per atom
size of the total moment: 0.00 μB/atom


Material: V3NiH
Method: DFT, PBE
State: relaxed

abc: 3.7682 3.7682 3.7682
angles: 90.00 90.00 90.00
Positions (direct):
Ni 0.5000 0.5000 0.5000
H 0.0000 0.0000 0.0000
V 0.0000 0.5000 0.0000
V 0.0000 0.0000 0.5000
V 0.5000 0.0000 0.0000

calculated density: 6.60 g/cm3
DFT total energy: -7.366 eV/atom
density of states at the Fermi level: 1.42 states/eV per atom
E above lowest polymorph: 0 meV per atom
size of the total moment: 0.00 μB/atom


Material: VNi8H6
Method: DFT, PBE
State: relaxed

abc: 4.5112 4.5112 6.8737
angles: 70.84 70.84 60.00
Positions (direct):
V 0.0000 0.0000 0.0000
Ni 0.7865 0.4413 0.6612
Ni 0.8890 0.2135 0.3388
Ni 0.5587 0.8890 0.3388
Ni 0.3343 0.3343 0.9970
Ni 0.6657 0.6657 0.0030
Ni 0.4413 0.1110 0.6612
Ni 0.1110 0.7865 0.6612
Ni 0.2135 0.5587 0.3388
H 0.9336 0.5925 0.1934
H 0.7194 0.0664 0.8066
H 0.4075 0.7194 0.8066
H 0.5925 0.2806 0.1934
H 0.2806 0.9336 0.1934
H 0.0664 0.4075 0.8066

calculated density: 7.80 g/cm3
DFT total energy: -5.105 eV/atom
density of states at the Fermi level: 0.67 states/eV per atom
size of the total moment: 0.00 μB/atom


Q: size of the total moment of number 2 (VNi4H4)?
A: 0.00 μB/atom


Q: Look up the density of states at the Fermi level of the third one.
A: 1.42 states/eV per atom


What did the second record say?
Material: VNi4H4
Method: DFT, PBE
State: relaxed

abc: 2.6399 4.5578 5.9328
angles: 73.88 77.14 73.17
Positions (direct):
V 0.5000 0.0000 0.0000
Ni 0.7011 0.3972 0.2005
Ni 0.9021 0.7998 0.3960
Ni 0.2989 0.6028 0.7995
Ni 0.0979 0.2002 0.6040
H 0.2943 0.0915 0.3199
H 0.7057 0.9085 0.6801
H 0.9036 0.3201 0.8726
H 0.0964 0.6799 0.1274

calculated density: 7.42 g/cm3
DFT total energy: -5.171 eV/atom
density of states at the Fermi level: 0.62 states/eV per atom
size of the total moment: 0.00 μB/atom